No. 1
## Pr5HoSc (PBE-GGA)

Data for a relaxed structure of Pr5HoSc.

Geometry as CIF:
```
data_Pr5HoSc
_symmetry_space_group_name_H-M 'P 1'
_symmetry_Int_Tables_number 1
_symmetry_space_group_name_Hall 'P 1'
_cell_length_a 5.405
_cell_length_b 5.405
_cell_length_c 8.556
_cell_angle_alpha 90.00
_cell_angle_beta 90.00
_cell_angle_gamma 90.00
loop_
_atom_site_label
_atom_site_type_symbol
_atom_site_fract_x
_atom_site_fract_y
_atom_site_fract_z
Pr1 Pr 0.500 0.500 0.000
Pr2 Pr 0.500 0.000 0.287
Pr3 Pr 0.000 0.500 0.287
Pr4 Pr 0.500 0.000 0.713
Pr5 Pr 0.000 0.500 0.713
Ho1 Ho 0.000 0.000 0.000
Sc1 Sc 0.000 0.000 0.500
```

Properties
total DFT energy (no corrections) = -4.73 eV/atom
crystal system = tetragonal
formation enthalpy at 0 K = 0.238 eV/atom
SG = No. 123
volume = 249.9 Å³ per cell

=====

No. 2
## Pr3Ho3Sc (PBE-GGA)

Data for a relaxed structure of Pr3Ho3Sc.

Geometry as CIF:
```
data_Pr3Ho3Sc
_symmetry_space_group_name_H-M 'P 1'
_symmetry_Int_Tables_number 1
_symmetry_space_group_name_Hall 'P 1'
_cell_length_a 5.705
_cell_length_b 9.604
_cell_length_c 9.604
_cell_angle_alpha 120.00
_cell_angle_beta 90.00
_cell_angle_gamma 90.00
loop_
_atom_site_label
_atom_site_type_symbol
_atom_site_fract_x
_atom_site_fract_y
_atom_site_fract_z
Pr1 Pr 0.750 0.477 0.380
Pr2 Pr 0.750 0.903 0.523
Pr3 Pr 0.250 0.380 0.903
Pr4 Pr 0.750 0.620 0.097
Pr5 Pr 0.250 0.097 0.477
Pr6 Pr 0.250 0.523 0.620
Ho1 Ho 0.750 0.187 0.950
Ho2 Ho 0.750 0.763 0.813
Ho3 Ho 0.250 0.950 0.763
Ho4 Ho 0.750 0.050 0.237
Ho5 Ho 0.250 0.237 0.187
Ho6 Ho 0.250 0.813 0.050
Sc1 Sc 0.250 0.667 0.333
Sc2 Sc 0.750 0.333 0.667
```

Properties
total DFT energy (no corrections) = -4.88 eV/atom
crystal system = hexagonal
formation enthalpy at 0 K = 0.040 eV/atom
SG = No. 176
volume = 455.7 Å³ per cell
excess energy over the best structure of this formula in the dataset = 0 meV per atom

=====

Please write out number 2 again, unchanged.
## Pr3Ho3Sc (PBE-GGA)

Data for a relaxed structure of Pr3Ho3Sc.

Geometry as CIF:
```
data_Pr3Ho3Sc
_symmetry_space_group_name_H-M 'P 1'
_symmetry_Int_Tables_number 1
_symmetry_space_group_name_Hall 'P 1'
_cell_length_a 5.705
_cell_length_b 9.604
_cell_length_c 9.604
_cell_angle_alpha 120.00
_cell_angle_beta 90.00
_cell_angle_gamma 90.00
loop_
_atom_site_label
_atom_site_type_symbol
_atom_site_fract_x
_atom_site_fract_y
_atom_site_fract_z
Pr1 Pr 0.750 0.477 0.380
Pr2 Pr 0.750 0.903 0.523
Pr3 Pr 0.250 0.380 0.903
Pr4 Pr 0.750 0.620 0.097
Pr5 Pr 0.250 0.097 0.477
Pr6 Pr 0.250 0.523 0.620
Ho1 Ho 0.750 0.187 0.950
Ho2 Ho 0.750 0.763 0.813
Ho3 Ho 0.250 0.950 0.763
Ho4 Ho 0.750 0.050 0.237
Ho5 Ho 0.250 0.237 0.187
Ho6 Ho 0.250 0.813 0.050
Sc1 Sc 0.250 0.667 0.333
Sc2 Sc 0.750 0.333 0.667
```

Properties
total DFT energy (no corrections) = -4.88 eV/atom
crystal system = hexagonal
formation enthalpy at 0 K = 0.040 eV/atom
SG = No. 176
volume = 455.7 Å³ per cell
excess energy over the best structure of this formula in the dataset = 0 meV per atom